(1)
Entry from Alexandria: TlHgCl2 after structural relaxation (PBE-GGA). Values from VASP.

Structure (Quantum ESPRESSO input):
```
&SYSTEM
  ibrav = 0, nat = 4, ntyp = 3
/
ATOMIC_SPECIES
Tl 204.38 Tl.upf
Hg 200.59 Hg.upf
Cl 35.45 Cl.upf
CELL_PARAMETERS angstrom
-1.476 -4.439 0.328
5.675 -1.749 1.880
-1.047 0.625 3.743
ATOMIC_POSITIONS angstrom
Tl 2.314 -0.562 2.811
Hg -1.262 -1.907 2.035
Cl 0.000 0.000 0.000
Cl 2.099 -3.094 1.104
```

Calculated values
formation energy without anion corrections: -0.519 eV per atom
offset from the most stable computed form: 0.1094 eV per atom



(2)
Entry from Alexandria: MnHRu2Rh after structural relaxation (PBE-GGA). Values from VASP.

Structure (Quantum ESPRESSO input):
```
&SYSTEM
  ibrav = 0, nat = 5, ntyp = 4
/
ATOMIC_SPECIES
Ru 101.07 Ru.upf
Mn 54.94 Mn.upf
Rh 102.91 Rh.upf
H 1.01 H.upf
CELL_PARAMETERS angstrom
-1.452 -2.068 -2.868
3.032 0.866 -2.160
1.798 -3.062 1.297
ATOMIC_POSITIONS angstrom
Ru 1.516 0.433 -1.080
Ru -0.726 -1.034 -1.434
Mn 0.899 -1.531 0.649
Rh 1.689 -2.132 -1.865
H 0.000 0.000 0.000
```

Calculated values
offset from the most stable computed form: 0.0569 eV per atom



(3)
Entry from Alexandria: KCd2P after structural relaxation (PBE-GGA). Values from VASP.

Structure (Quantum ESPRESSO input):
```
&SYSTEM
  ibrav = 0, nat = 4, ntyp = 3
/
ATOMIC_SPECIES
Cd 112.41 Cd.upf
K 39.10 K.upf
P 30.97 P.upf
CELL_PARAMETERS angstrom
3.867 0.000 0.000
0.000 3.870 0.000
0.000 0.000 6.934
ATOMIC_POSITIONS angstrom
Cd 0.000 0.000 6.597
Cd 0.000 0.000 3.804
K 1.934 1.935 1.734
P 1.934 1.935 5.201
```

Calculated values
formation energy: 4.46 kcal/mol of atoms



Number 1: energy -2.11 eV per atom. Number 2: energy -7.59 eV per atom. Number 3: energy -1.89 eV per atom.